(1)
{"formula": "Mn2GaSe2", "functional": "PBE", "state": "relaxed", "lattice": [[-4.992, -1.493, 5.242], [2.421, -2.544, 1.581], [2.828, 5.184, 4.012]], "species": ["Mn", "Mn", "Mn", "Mn", "Ga", "Ga", "Se", "Se", "Se", "Se"], "fractional_positions": [[0.042, 0.000, 0.131], [0.958, 0.000, 0.869], [0.042, 0.500, 0.631], [0.958, 0.500, 0.369], [0.500, 0.500, 0.500], [0.500, 0.000, 0.000], [0.218, 0.000, 0.687], [0.782, 0.000, 0.313], [0.218, 0.500, 0.187], [0.782, 0.500, 0.813]], "sg": "No. 12", "dos_ef_per_ev_fu": 2.49, "e_above_lowest_polymorph_ev_per_fu": 0.71, "total_energy_ev_per_cell": -57.11, "magnetic_moment_mub_per_cell": 0.00, "e_form_raw_ev_per_atom": -0.044}

***

(2)
{"formula": "Mn2GaSe2", "functional": "PBE", "state": "relaxed", "lattice": [[3.636, 0.000, 0.000], [0.000, 4.860, 0.000], [0.000, 0.000, 11.148]], "species": ["Mn", "Mn", "Mn", "Mn", "Ga", "Ga", "Se", "Se", "Se", "Se"], "fractional_positions": [[0.000, 0.000, 0.420], [0.000, 0.500, 0.920], [0.500, 0.000, 0.020], [0.500, 0.500, 0.520], [0.000, 0.000, 0.191], [0.000, 0.500, 0.691], [0.500, 0.000, 0.576], [0.500, 0.500, 0.076], [0.000, 0.000, 0.863], [0.000, 0.500, 0.363]], "sg": "No. 38", "dos_ef_per_ev_fu": 3.64, "e_above_lowest_polymorph_ev_per_fu": 0.18, "total_energy_ev_per_cell": -58.18, "magnetic_moment_mub_per_cell": 13.94, "e_form_raw_ev_per_atom": -0.151}

***

(3)
{"formula": "Mn2GaSe2", "functional": "PBE", "state": "relaxed", "lattice": [[-1.657, -2.224, -1.145], [-0.538, -0.666, 6.003], [-3.272, 5.643, -2.254]], "species": ["Mn", "Mn", "Ga", "Se", "Se"], "fractional_positions": [[0.786, 0.131, 0.942], [0.214, 0.869, 0.058], [0.500, 0.500, 0.000], [0.013, 0.837, 0.692], [0.987, 0.163, 0.308]], "sg": "No. 2", "dos_ef_per_ev_fu": 2.60, "e_above_lowest_polymorph_ev_per_fu": 0.33, "total_energy_ev_per_cell": -28.94, "magnetic_moment_mub_per_cell": 2.89, "e_form_raw_ev_per_atom": -0.121}

***

(4)
{"formula": "Mn2GaSe2", "functional": "PBE", "state": "relaxed", "lattice": [[-1.663, -4.037, -0.386], [3.093, -3.136, -0.189], [-0.091, -0.500, 5.186]], "species": ["Mn", "Mn", "Ga", "Se", "Se"], "fractional_positions": [[0.230, 0.409, 0.064], [0.770, 0.591, 0.936], [0.000, 0.500, 0.500], [0.346, 0.846, 0.242], [0.654, 0.154, 0.758]], "sg": "No. 2", "dos_ef_per_ev_fu": 2.43, "e_above_lowest_polymorph_ev_per_fu": 0.63, "total_energy_ev_per_cell": -28.64, "magnetic_moment_mub_per_cell": 0.00, "e_form_raw_ev_per_atom": -0.061}

***

(5)
{"formula": "Mn2GaSe2", "functional": "PBE", "state": "relaxed", "lattice": [[-2.238, -0.133, -6.036], [2.509, -1.970, -0.887], [-3.415, -6.563, 4.920]], "species": ["Mn", "Mn", "Mn", "Mn", "Ga", "Ga", "Se", "Se", "Se", "Se"], "fractional_positions": [[0.100, 0.000, 0.253], [0.100, 0.500, 0.753], [0.801, 0.000, 0.470], [0.801, 0.500, 0.970], [0.447, 0.000, 0.809], [0.447, 0.500, 0.309], [0.102, 0.000, 0.974], [0.102, 0.500, 0.474], [0.690, 0.000, 0.141], [0.690, 0.500, 0.641]], "sg": "No. 8", "dos_ef_per_ev_fu": 2.80, "e_above_lowest_polymorph_ev_per_fu": 0.26, "total_energy_ev_per_cell": -58.01, "magnetic_moment_mub_per_cell": 12.07, "e_form_raw_ev_per_atom": -0.134}

***

(6)
{"formula": "Mn2GaSe2", "functional": "PBE", "state": "relaxed", "lattice": [[7.689, 0.000, -0.222], [0.000, 4.123, 0.000], [-2.441, 0.000, 7.226]], "species": ["Mn", "Mn", "Mn", "Mn", "Ga", "Ga", "Se", "Se", "Se", "Se"], "fractional_positions": [[0.110, 0.000, 0.518], [0.110, 0.500, 0.018], [0.003, 0.000, 0.771], [0.003, 0.500, 0.271], [0.554, 0.000, 0.844], [0.554, 0.500, 0.344], [0.286, 0.000, 0.042], [0.286, 0.500, 0.542], [0.828, 0.000, 0.251], [0.828, 0.500, 0.751]], "sg": "No. 8", "dos_ef_per_ev_fu": 2.66, "e_above_lowest_polymorph_ev_per_fu": 0.43, "total_energy_ev_per_cell": -57.69, "magnetic_moment_mub_per_cell": 0.00, "e_form_raw_ev_per_atom": -0.102}

***

(7)
{"formula": "Mn2GaSe", "functional": "PBE", "state": "relaxed", "lattice": [[-3.280, 1.642, -3.788], [-4.006, -2.435, 2.413], [-4.882, 5.039, 2.741]], "species": ["Mn", "Mn", "Mn", "Mn", "Ga", "Ga", "Se", "Se"], "fractional_positions": [[0.629, 0.125, 0.250], [0.121, 0.625, 0.250], [0.375, 0.371, 0.750], [0.875, 0.879, 0.750], [0.500, 0.500, 0.000], [0.250, 0.750, 0.500], [0.000, 0.000, 0.000], [0.750, 0.250, 0.500]], "sg": "No. 122", "dos_ef_per_ev_fu": 1.20, "e_above_lowest_polymorph_ev_per_fu": 0.13, "total_energy_ev_per_cell": -47.25, "magnetic_moment_mub_per_cell": 14.14, "e_form_raw_ev_per_atom": 0.306}

***

(8)
{"formula": "Mn2GaSe2", "functional": "PBE", "state": "relaxed", "lattice": [[-0.655, -1.628, 2.967], [2.669, -4.418, -1.834], [7.907, 3.619, 2.787]], "species": ["Mn", "Mn", "Mn", "Mn", "Ga", "Ga", "Se", "Se", "Se", "Se"], "fractional_positions": [[0.214, 0.206, 0.086], [0.786, 0.206, 0.914], [0.214, 0.706, 0.586], [0.786, 0.706, 0.414], [0.500, 0.086, 0.500], [0.500, 0.586, 0.000], [0.260, 0.426, 0.321], [0.740, 0.426, 0.679], [0.260, 0.926, 0.821], [0.740, 0.926, 0.179]], "sg": "No. 5", "dos_ef_per_ev_fu": 3.15, "e_above_lowest_polymorph_ev_per_fu": 0.66, "total_energy_ev_per_cell": -57.21, "magnetic_moment_mub_per_cell": 3.89, "e_form_raw_ev_per_atom": -0.054}